Below is a relaxed structure of VRh3N, with properties calculated at the PBE level.

The structure in POSCAR format:
```
VRh3N
1.0
4.4898 0.0000 0.0000
0.0000 4.4898 0.0000
0.0000 0.0000 4.4898
V Rh N
1 3 1
Direct
0.0000 0.0000 0.0000 V
0.0000 0.5000 0.0000 Rh
0.0000 0.0000 0.5000 Rh
0.5000 0.0000 0.0000 Rh
0.5000 0.5000 0.5000 N
```

Values from the calculation:
The space group is Pm-3m. The calculation puts the theoretical density at 6.86 g/cm3. As for the formation energy from raw total energies: 9.62 eV per formula unit. The calculation puts the total moment at 0.527 μB/atom.

Below is a relaxed structure of VRh2N2, with properties calculated at the PBE level.

The structure in POSCAR format:
```
VRh2N2
1.0
5.4414 0.0000 0.0000
0.0000 5.4414 0.0000
0.0000 0.0000 3.9233
V Rh N
2 4 4
Direct
0.0000 0.0000 0.0000 V
0.5000 0.5000 0.0000 V
0.1778 0.6778 0.5000 Rh
0.6778 0.8222 0.5000 Rh
0.8222 0.3222 0.5000 Rh
0.3222 0.1778 0.5000 Rh
0.1920 0.6920 0.0000 N
0.6920 0.8080 0.0000 N
0.8080 0.3080 0.0000 N
0.3080 0.1920 0.0000 N
```

Values from the calculation:
The space group is P4/mbm. The calculation puts the theoretical density at 8.14 g/cm3. As for the formation energy from raw total energies: -0.48 eV per formula unit. The calculation puts the total moment at 0.000 μB/atom.

Below is a relaxed structure of VRhN2, with properties calculated at the PBE level.

The structure in POSCAR format:
```
VRhN2
1.0
1.7775 0.0000 5.8456
-0.8887 1.5393 5.8456
-0.8887 -1.5393 5.8456
V Rh N
1 1 2
Direct
0.0000 0.0000 0.0000 V
0.5000 0.5000 0.5000 Rh
0.8945 0.8945 0.8945 N
0.1055 0.1055 0.1055 N
```

Values from the calculation:
The space group is R-3m. The calculation puts the theoretical density at 6.29 g/cm3. As for the formation energy from raw total energies: 2.09 eV per formula unit. The calculation puts the total moment at 0.049 μB/atom.

Below is a relaxed structure of VRhN2, with properties calculated at the PBE level.

The structure in POSCAR format:
```
VRhN2
1.0
1.6338 0.0000 6.1972
-0.8169 1.4149 6.1972
-0.8169 -1.4149 6.1972
V Rh N
1 1 2
Direct
0.5000 0.5000 0.5000 V
0.0000 0.0000 0.0000 Rh
0.8937 0.8937 0.8937 N
0.1063 0.1063 0.1063 N
```

Values from the calculation:
The space group is R-3m. The calculation puts the theoretical density at 7.03 g/cm3. As for the formation energy from raw total energies: -0.80 eV per formula unit. The calculation puts the total moment at 0.001 μB/atom.

Q: Which of these has the highest total moment?
A: VRh3N

Repeat the fourth record exactly.
Below is a relaxed structure of VRhN2, with properties calculated at the PBE level.

The structure in POSCAR format:
```
VRhN2
1.0
1.6338 0.0000 6.1972
-0.8169 1.4149 6.1972
-0.8169 -1.4149 6.1972
V Rh N
1 1 2
Direct
0.5000 0.5000 0.5000 V
0.0000 0.0000 0.0000 Rh
0.8937 0.8937 0.8937 N
0.1063 0.1063 0.1063 N
```

Values from the calculation:
The space group is R-3m. The calculation puts the theoretical density at 7.03 g/cm3. As for the formation energy from raw total energies: -0.80 eV per formula unit. The calculation puts the total moment at 0.001 μB/atom.

Q: Which value of total moment does entry 2 give?
A: 0.000 μB/atom

Q: The highest theoretical density belongs to which entry?
A: VRh2N2